Compound: Fe4RhF12
Source: Alexandria via LeMat-Bulk
Functional: GGA+U
Structure: relaxed

It has space group Immm (No. 71), with a = 7.673 Å, b = 7.731 Å, c = 8.109 Å, α = 90.00°, β = 90.00° and γ = 90.00°. The distinct sites, in fractional coordinates, are Fe at (0.250, 0.250, 0.250), Rh at (0.000, 0.000, 0.000), F at (0.000, 0.292, 0.288), F at (0.188, 0.191, 0.000) and F at (0.211, 0.000, 0.292).

As for the magnetic moment: 38.00 Bohr magnetons per cell. The volume comes out at 14.1 Å³ per atom. As for the final energy: -88.75 eV/f.u. The mass density is 3.83 g cm⁻³.